Entry 1:
An optimized crystal structure of PbW3Au, computed with PBE.

Lattice parameters (Å, degrees): 4.964 4.964 4.964 90.00 90.00 90.00
Fractional positions:
Pb1 0.000 0.000 0.000
Au1 0.500 0.500 0.500
W1 0.000 0.500 0.000
W2 0.000 0.000 0.500
W3 0.500 0.000 0.000

Values from the calculation:
space group = No. 221
offset from the most stable computed form = 699.4 meV/atom
calculated total energy = -5.947 eV per atom
formation energy = 3222 meV/atom
theoretical density = 12.97 g cm⁻³

Entry 2:
An optimized crystal structure of SnSbPbI2, computed with PBE.

Lattice parameters (Å, degrees): 5.871 5.871 5.963 90.00 90.00 90.00
Fractional positions:
Pb1 0.500 0.500 0.500
I1 0.000 0.500 0.000
I2 0.500 0.000 0.000
Sn1 0.000 0.000 0.000
Sb1 0.000 0.000 0.500

Values from the calculation:
space group = No. 123
offset from the most stable computed form = 0.0 meV/atom
ΔE_f (raw) = 0.23 eV/atom
calculated total energy = -2.756 eV per atom
theoretical density = 5.67 g cm⁻³

Entry 3:
An optimized crystal structure of CuRh5, computed with PBE.

Lattice parameters (Å, degrees): 5.031 5.031 4.430 90.00 90.00 120.00
Fractional positions:
Cu1 0.000 0.000 0.000
Rh1 0.000 0.500 0.500
Rh2 0.333 0.667 0.000
Rh3 0.500 0.000 0.500
Rh4 0.500 0.500 0.500
Rh5 0.667 0.333 0.000

Values from the calculation:
space group = No. 191
offset from the most stable computed form = 512.7 meV/atom
calculated total energy = -6.255 eV per atom
formation energy = 554 meV/atom
theoretical density = 9.88 g cm⁻³

Entry 4:
An optimized crystal structure of Th3Tc2Ge3, computed with PBE.

Lattice parameters (Å, degrees): 4.290 5.849 15.209 90.00 90.00 111.51
Fractional positions:
Th1 0.921 0.842 0.392
Th2 0.079 0.158 0.892
Th3 0.921 0.842 0.108
Th4 0.079 0.158 0.608
Th5 0.647 0.293 0.250
Th6 0.353 0.707 0.750
Tc1 0.799 0.598 0.886
Tc2 0.201 0.402 0.386
Tc3 0.799 0.598 0.614
Tc4 0.201 0.402 0.114
Ge1 0.638 0.276 0.466
Ge2 0.362 0.724 0.966
Ge3 0.638 0.276 0.034
Ge4 0.362 0.724 0.534
Ge5 0.355 0.711 0.250
Ge6 0.645 0.289 0.750

Values from the calculation:
space group = No. 63
offset from the most stable computed form = 15.1 meV/atom
calculated total energy = -7.622 eV per atom
formation energy = -516 meV/atom
theoretical density = 10.38 g cm⁻³

Entry 5:
An optimized crystal structure of PRhBr2, computed with PBE.

Lattice parameters (Å, degrees): 8.881 8.881 8.881 156.44 157.63 32.71
Fractional positions:
Br1 0.106 0.106 0.000
Br2 0.895 0.395 0.500
P1 0.285 0.285 0.000
Rh1 0.214 0.714 0.500

Values from the calculation:
space group = No. 44
offset from the most stable computed form = 362.1 meV/atom
ΔE_f (raw) = -0.15 eV/atom
calculated total energy = -4.173 eV per atom
theoretical density = 4.58 g cm⁻³

Entry 6:
An optimized crystal structure of Er5Sc5Pb6, computed with PBE.

Lattice parameters (Å, degrees): 6.306 8.773 8.773 119.69 90.00 90.00
Fractional positions:
Er1 0.000 0.764 0.000
Er2 0.000 0.000 0.764
Er3 0.500 0.761 0.761
Er4 0.500 0.235 0.001
Er5 0.500 0.001 0.235
Sc1 0.750 0.333 0.668
Sc2 0.750 0.668 0.333
Sc3 0.250 0.668 0.333
Sc4 0.250 0.333 0.668
Sc5 0.000 0.238 0.238
Pb1 0.000 0.597 0.597
Pb2 0.000 0.397 0.005
Pb3 0.000 0.005 0.397
Pb4 0.500 0.399 0.399
Pb5 0.500 0.600 0.001
Pb6 0.500 0.001 0.600

Values from the calculation:
space group = No. 38
calculated total energy = -5.304 eV per atom
formation energy = -508 meV/atom
theoretical density = 9.08 g cm⁻³

Entry 7:
An optimized crystal structure of ErSn4Hg, computed with PBE.

Lattice parameters (Å, degrees): 6.157 6.157 6.157 60.00 60.00 60.00
Fractional positions:
Hg1 0.250 0.250 0.250
Sn1 0.625 0.625 0.125
Sn2 0.625 0.125 0.625
Sn3 0.625 0.625 0.625
Sn4 0.125 0.625 0.625
Er1 0.000 0.000 0.000

Values from the calculation:
space group = No. 216
calculated total energy = -3.571 eV per atom
formation energy = -91 meV/atom
theoretical density = 8.48 g cm⁻³

Entry 8:
An optimized crystal structure of Sm2CdCoC, computed with PBE.

Lattice parameters (Å, degrees): 3.676 5.240 5.240 90.00 90.00 90.00
Fractional positions:
Sm1 0.000 0.000 0.500
Sm2 0.000 0.500 0.000
Cd1 0.500 0.500 0.500
Co1 0.500 0.000 0.000
C1 0.000 0.000 0.000

Values from the calculation:
space group = No. 123
calculated total energy = -5.604 eV per atom
formation energy = -267 meV/atom
theoretical density = 7.96 g cm⁻³

Entry 9:
An optimized crystal structure of CeTa2MoC4, computed with PBE.

Lattice parameters (Å, degrees): 3.263 5.959 11.300 90.00 90.00 105.89
Fractional positions:
Ce1 0.110 0.220 0.750
Ce2 0.890 0.780 0.250
Ta1 0.372 0.744 0.536
Ta2 0.628 0.256 0.036
Ta3 0.628 0.256 0.464
Ta4 0.372 0.744 0.964
Mo1 0.843 0.686 0.750
Mo2 0.157 0.314 0.250
C1 0.262 0.524 0.110
C2 0.738 0.476 0.610
C3 0.738 0.476 0.890
C4 0.262 0.524 0.390
C5 0.000 0.000 0.500
C6 0.000 0.000 0.000
C7 0.447 0.895 0.750
C8 0.553 0.105 0.250

Values from the calculation:
space group = No. 63
calculated total energy = -9.927 eV per atom
formation energy = -256 meV/atom
theoretical density = 10.15 g cm⁻³

Entry 10:
An optimized crystal structure of Ni7Sn2Ge2Sb, computed with PBE.

Lattice parameters (Å, degrees): 3.601 3.601 14.823 87.01 87.01 90.85
Fractional positions:
Ni1 0.500 0.500 0.000
Ni2 0.379 0.379 0.425
Ni3 0.621 0.621 0.575
Ni4 0.971 0.472 0.129
Ni5 0.472 0.971 0.129
Ni6 0.528 0.029 0.871
Ni7 0.029 0.528 0.871
Sn1 0.557 0.557 0.746
Sn2 0.443 0.443 0.254
Ge1 0.860 0.860 0.423
Ge2 0.140 0.140 0.577
Sb1 0.000 0.000 0.000

Values from the calculation:
space group = No. 12
ΔE_f (raw) = -0.06 eV/atom
calculated total energy = -5.210 eV per atom
theoretical density = 7.93 g cm⁻³

Entry 11:
An optimized crystal structure of AlHSe2, computed with PBE.

Lattice parameters (Å, degrees): 17.633 3.877 8.557 90.00 146.32 90.00
Fractional positions:
H1 0.685 0.132 0.616
H2 0.315 0.868 0.384
H3 0.815 0.632 0.884
H4 0.185 0.368 0.116
Al1 0.268 0.058 0.131
Al2 0.732 0.942 0.869
Al3 0.232 0.558 0.369
Al4 0.768 0.442 0.631
Se1 0.908 0.998 0.744
Se2 0.092 0.002 0.256
Se3 0.592 0.498 0.756
Se4 0.408 0.502 0.244
Se5 0.105 0.838 0.672
Se6 0.895 0.162 0.328
Se7 0.395 0.338 0.828
Se8 0.605 0.662 0.172

Values from the calculation:
space group = No. 14
offset from the most stable computed form = 324.4 meV/atom
calculated total energy = -3.740 eV per atom
theoretical density = 3.81 g cm⁻³